Cs3WI2F6: relaxed, GGA+U.

Structure (POSCAR):
```
Cs3WI2F6
1.0
9.058 -4.295 0.000
9.058 4.295 0.000
-0.170 0.000 5.929
Cs W I F
3 1 2 6
Cartesian
0.000 0.000 0.000
4.444 2.147 2.965
4.444 -2.147 2.965
8.973 0.000 2.965
3.473 0.000 5.903
14.473 0.000 0.027
8.945 1.422 1.653
9.001 1.422 4.277
7.000 0.000 3.007
10.946 0.000 2.922
8.945 -1.422 1.653
9.001 -1.422 4.277
```

Values from the calculation:
N(E_F)	0.000	states/eV per cell
electronic total energy	-0.1610	Ha/atom
total moment	1.00	μB per formula unit